A plane-wave DFT calculation with PBE-GGA was carried out for a relaxed Tl2GaPbI4 crystal.

a = 8.0746 Å, b = 5.4268 Å, c = 8.1709 Å
α = 90.00°, β = 114.84°, γ = 90.00°
With the nearest neighbours (Å) after each atom.
Atoms (fractional coordinates):
Tl (0.0000, 0.0000, 0.0000)  6 I 3.55-3.57
Tl (0.5000, 0.5000, 0.0000)  6 I 3.53-3.55
Ga (0.0000, 0.5000, 0.5000)  6 I 3.32-3.43
Pb (0.5000, 0.0000, 0.5000)  6 I 3.30-3.41
I (0.2483, 0.0000, 0.7299)  1 Pb 3.30, 2 Ga 3.43, 3 Tl 3.55
I (0.2562, 0.5000, 0.2717)  1 Ga 3.32, 2 Pb 3.41, 3 Tl 3.53-3.57
I (0.7438, 0.5000, 0.7283)  1 Ga 3.32, 2 Pb 3.41, 3 Tl 3.53-3.57
I (0.7517, 0.0000, 0.2701)  1 Pb 3.30, 2 Ga 3.43, 3 Tl 3.55

For the total energy, the calculation gives -2.6196 eV per atom. Its crystal system is monoclinic. For the density of states at the Fermi level, the calculation gives 2.898 states/eV/f.u. The value obtained for the formation energy without anion corrections is -0.411 eV per atom.